No. 1
First-principles (GGA-PBE) data for Ti2BePd after structural relaxation, as listed in the Alexandria database.

Calculated formation energy (eV/atom): -0.288

```
data_Ti2BePd
_cell_length_a 3.0865
_cell_length_b 3.0865
_cell_length_c 6.0274
_cell_angle_alpha 90.00
_cell_angle_beta 90.00
_cell_angle_gamma 90.00
_space_group_name_H-M_alt 'P 4/m m m'
_space_group_IT_number 123
_space_group_name_Hall '-P 4 2'
loop_
_atom_site_label
_atom_site_type_symbol
_atom_site_fract_x
_atom_site_fract_y
_atom_site_fract_z
Ti1 Ti 0.0000 0.0000 0.2280
Be1 Be 0.5000 0.5000 0.0000
Pd1 Pd 0.5000 0.5000 0.5000
```

No. 2
First-principles (GGA-PBE) data for ScZn6O6 after structural relaxation, as listed in the Alexandria database.

E_form (uncorrected) (meV per atom): -1037

```
data_ScZn6O6
_cell_length_a 5.7637
_cell_length_b 5.7637
_cell_length_c 5.7637
_cell_angle_alpha 90.00
_cell_angle_beta 90.00
_cell_angle_gamma 90.00
_space_group_name_H-M_alt 'P m -3'
_space_group_IT_number 200
_space_group_name_Hall '-P 2 2 3'
loop_
_atom_site_label
_atom_site_type_symbol
_atom_site_fract_x
_atom_site_fract_y
_atom_site_fract_z
Sc1 Sc 0.0000 0.0000 0.0000
Zn1 Zn 0.0000 0.2563 0.5000
O1 O 0.0000 0.5000 0.2451
```

No. 3
First-principles (GGA-PBE) data for Y2Ti4Sb after structural relaxation, as listed in the Alexandria database.

E_form (uncorrected) (meV per atom): 747

```
data_Y2Ti4Sb
_cell_length_a 4.9495
_cell_length_b 4.9495
_cell_length_c 15.8393
_cell_angle_alpha 90.00
_cell_angle_beta 90.00
_cell_angle_gamma 90.00
_space_group_name_H-M_alt 'I 4/m m m'
_space_group_IT_number 139
_space_group_name_Hall '-I 4 2'
loop_
_atom_site_label
_atom_site_type_symbol
_atom_site_fract_x
_atom_site_fract_y
_atom_site_fract_z
Y1 Y 0.0000 0.0000 0.1317
Ti1 Ti 0.0000 0.0000 0.3317
Ti2 Ti 0.0000 0.5000 0.0000
Sb1 Sb 0.0000 0.0000 0.5000
```

No. 4
First-principles (GGA-PBE) data for Y3ScH after structural relaxation, as listed in the Alexandria database.

E above lowest polymorph (eV per atom): 1.307

```
data_Y3ScH
_cell_length_a 5.5496
_cell_length_b 5.5496
_cell_length_c 5.5496
_cell_angle_alpha 90.00
_cell_angle_beta 90.00
_cell_angle_gamma 90.00
_space_group_name_H-M_alt 'P m -3 m'
_space_group_IT_number 221
_space_group_name_Hall '-P 4 2 3'
loop_
_atom_site_label
_atom_site_type_symbol
_atom_site_fract_x
_atom_site_fract_y
_atom_site_fract_z
Y1 Y 0.0000 0.0000 0.5000
Sc1 Sc 0.0000 0.0000 0.0000
H1 H 0.5000 0.5000 0.5000
```

No. 5
First-principles (GGA-PBE) data for LuThBeTc after structural relaxation, as listed in the Alexandria database.

Calculated formation energy (eV/atom): 0.026

```
data_LuThBeTc
_cell_length_a 6.9281
_cell_length_b 6.9281
_cell_length_c 6.9281
_cell_angle_alpha 90.00
_cell_angle_beta 90.00
_cell_angle_gamma 90.00
_space_group_name_H-M_alt 'F -4 3 m'
_space_group_IT_number 216
_space_group_name_Hall 'F -4 2 3'
loop_
_atom_site_label
_atom_site_type_symbol
_atom_site_fract_x
_atom_site_fract_y
_atom_site_fract_z
Lu1 Lu 0.0000 0.0000 0.0000
Th1 Th 0.0000 0.0000 0.5000
Be1 Be 0.2500 0.2500 0.2500
Tc1 Tc 0.2500 0.2500 0.7500
```

No. 6
First-principles (GGA-PBE) data for PrNd10Tm4 after structural relaxation, as listed in the Alexandria database.

Calculated formation energy (eV/atom): 0.446

```
data_PrNd10Tm4
_cell_length_a 10.0154
_cell_length_b 10.0154
_cell_length_c 10.8133
_cell_angle_alpha 90.00
_cell_angle_beta 90.00
_cell_angle_gamma 90.00
_space_group_name_H-M_alt 'I 4/m'
_space_group_IT_number 87
_space_group_name_Hall '-I 4'
loop_
_atom_site_label
_atom_site_type_symbol
_atom_site_fract_x
_atom_site_fract_y
_atom_site_fract_z
Pr1 Pr 0.0000 0.0000 0.0000
Nd1 Nd 0.0000 0.5000 0.2500
Nd2 Nd 0.1172 0.2270 0.1705
Tm1 Tm 0.0563 0.2762 0.5000
```

No. 7
First-principles (GGA-PBE) data for ZrHg2Au after structural relaxation, as listed in the Alexandria database.

Calculated formation energy (eV/atom): -0.095
E above lowest polymorph (eV per atom): 0.064

```
data_ZrHg2Au
_cell_length_a 6.8993
_cell_length_b 6.8993
_cell_length_c 6.8993
_cell_angle_alpha 90.00
_cell_angle_beta 90.00
_cell_angle_gamma 90.00
_space_group_name_H-M_alt 'F m -3 m'
_space_group_IT_number 225
_space_group_name_Hall '-F 4 2 3'
loop_
_atom_site_label
_atom_site_type_symbol
_atom_site_fract_x
_atom_site_fract_y
_atom_site_fract_z
Zr1 Zr 0.0000 0.0000 0.0000
Hg1 Hg 0.2500 0.2500 0.2500
Au1 Au 0.0000 0.0000 0.5000
```

No. 8
First-principles (GGA-PBE) data for CoGe4B2 after structural relaxation, as listed in the Alexandria database.

Calculated formation energy (eV/atom): 0.661

```
data_CoGe4B2
_cell_length_a 4.8555
_cell_length_b 4.8555
_cell_length_c 9.8421
_cell_angle_alpha 90.00
_cell_angle_beta 90.00
_cell_angle_gamma 90.00
_space_group_name_H-M_alt 'I 4/m m m'
_space_group_IT_number 139
_space_group_name_Hall '-I 4 2'
loop_
_atom_site_label
_atom_site_type_symbol
_atom_site_fract_x
_atom_site_fract_y
_atom_site_fract_z
Co1 Co 0.0000 0.0000 0.0000
Ge1 Ge 0.0000 0.0000 0.2239
Ge2 Ge 0.0000 0.5000 0.0000
B1 B 0.0000 0.0000 0.4210
```